Compound: Th2BiTe2S
Source: the Alexandria database
Functional: PBE-GGA
Structure: relaxed

Results
* raw formation energy: -1.2005 eV/atom
* size of the total moment: 0.000 μB/cell

abc: 7.9454 15.6710 6.2430
angles: 90.00 90.00 90.00
Space group Ibam (No. 72)
Unique sites:
Th  0.1919  0.1150  0.0000 x8
Bi  0.0000  0.5000  0.2500 x4
Te  0.1800  0.1915  0.5000 x8
S  0.0000  0.0000  0.2500 x4


Compound: MgZr2Tl2
Source: the Alexandria database
Functional: PBE-GGA
Structure: relaxed

Results
* Fermi-level density of states: 10.35 states/eV per cell
* calculated total energy: -22.8 eV per formula unit
* size of the total moment: 0.000 μB/cell

abc: 8.6263 8.6263 3.3567
angles: 90.00 90.00 90.00
Space group P4/mbm (No. 127)
Unique sites:
Mg  0.0000  0.0000  0.0000 x2
Zr  0.1229  0.3771  0.0000 x4
Tl  0.1777  0.6777  0.5000 x4


Compound: Cs2AgH
Source: the Alexandria database
Functional: PBE-GGA
Structure: relaxed

Results
* calculated total energy: -7.9 eV per formula unit
* size of the total moment: 0.000 μB/cell

abc: 4.7676 4.7676 25.8832
angles: 90.00 90.00 120.00
Space group R3m (No. 160, hexagonal axes)
Unique sites:
Cs  0.0000  0.0000  0.0000 x3
Cs  0.0000  0.0000  0.1953 x3
Ag  0.0000  0.0000  0.7643 x3
H  0.0000  0.0000  0.5977 x3


Compound: ScSe3Cl
Source: the Alexandria database
Functional: PBE-GGA
Structure: relaxed

Results
* Fermi-level density of states: 1.62 states/eV per cell
* raw formation energy: 0.2333 eV/atom
* size of the total moment: 0.000 μB/cell

abc: 4.9244 4.9244 4.9244
angles: 90.00 90.00 90.00
Space group Pm-3m (No. 221)
Unique sites:
Sc  0.0000  0.0000  0.0000 x1
Se  0.0000  0.5000  0.5000 x3
Cl  0.5000  0.5000  0.5000 x1


Compound: CoAg2Cl
Source: the Alexandria database
Functional: PBE-GGA
Structure: relaxed

Results
* Fermi-level density of states: 9.66 states/eV per cell
* raw formation energy: 0.5171 eV/atom
* size of the total moment: 3.977 μB/cell

abc: 3.8467 3.8467 9.7901
angles: 90.00 90.00 90.00
Space group I4/mmm (No. 139)
Unique sites:
Co  0.0000  0.0000  0.0000 x2
Ag  0.0000  0.5000  0.2500 x4
Cl  0.0000  0.0000  0.5000 x2


Compound: Si2RuAu
Source: the Alexandria database
Functional: PBE-GGA
Structure: relaxed

Results
* Fermi-level density of states: 1.50 states/eV per cell
* raw formation energy: -0.1862 eV/atom
* size of the total moment: 0.000 μB/cell

abc: 3.1360 3.6378 5.1561
angles: 90.00 90.00 90.00
Space group Pmm2 (No. 25)
Unique sites:
Si  0.0000  0.0000  0.0000 x1
Si  0.5000  0.5000  0.3120 x1
Ru  0.5000  0.5000  0.8485 x1
Au  0.0000  0.0000  0.4958 x1